Entry 1:
NaAlInNi2: relaxed, PBE.

Results
**Energy of formation from the pure elements**: 0.94 eV per atom
**Spin magnetization**: 0.00 μB per formula unit
**DFT total energy**: -14.66 eV per cell
**V**: 23.4 A^3/atom

a b c (Å): 4.7617 4.7617 5.1525
angles (deg): 90.00 90.00 90.00
Closest atoms and distances in Å follow each position.
Space group P4/mmm (No. 123)
Asymmetric unit:
Na (0.0000, 0.0000, 0.0000) (multiplicity 1)  2 In 2.58
Al (0.5000, 0.5000, 0.0000) (multiplicity 1)  4 Na 3.37, 8 Ni 3.51
In (0.0000, 0.0000, 0.5000) (multiplicity 1)  4 Ni 2.38, 2 Na 2.58
Ni (0.0000, 0.5000, 0.5000) (multiplicity 2)  2 In 2.38

Entry 2:
LiRhNF2: relaxed, PBE.

Results
**Energy relative to the elements, uncorrected**: -0.86 eV/atom
**Polymorph energy (0 for the lowest one)**: 0.000 eV/atom
**Spin magnetization**: 0.09 μB per formula unit
**DFT total energy**: -25.62 eV per cell
**V**: 14.0 A^3/atom

a b c (Å): 4.3789 4.3789 3.6542
angles (deg): 90.00 90.00 90.00
Closest atoms and distances in Å follow each position.
Space group P4/mmm (No. 123)
Asymmetric unit:
Li (0.0000, 0.0000, 0.0000) (multiplicity 1)  8 F 2.85, 4 N 3.10
Rh (0.5000, 0.5000, 0.5000) (multiplicity 1)  2 N 1.83
N (0.5000, 0.5000, 0.0000) (multiplicity 1)  2 Rh 1.83
F (0.0000, 0.5000, 0.5000) (multiplicity 2)  2 Rh 2.19

Entry 3:
TaPbCl2: relaxed, PBE.

Results
**Energy relative to the elements, uncorrected**: 0.18 eV/atom
**Polymorph energy (0 for the lowest one)**: 0.672 eV/atom
**Spin magnetization**: 0.90 μB per formula unit
**DFT total energy**: -37.04 eV per cell
**V**: 21.7 A^3/atom

a b c (Å): 6.3122 9.6796 3.2208
angles (deg): 90.00 117.89 90.00
Closest atoms and distances in Å follow each position.
Space group C2/m (No. 12)
Asymmetric unit:
Ta (0.0000, 0.0000, 0.0000) (multiplicity 2)  4 Cl 2.89, 2 Pb 3.16, 2 Ta 3.22
Pb (0.0000, 0.5000, 0.0000) (multiplicity 2)  4 Cl 2.89, 2 Ta 3.16, 2 Pb 3.22
Cl (0.2500, 0.2500, 0.0000) (multiplicity 4)  2 Ta 2.89, 2 Pb 2.89, 4 Cl 3.16-3.22

Entry 4:
MnI2BrN: relaxed, PBE.

Results
**Energy relative to the elements, uncorrected**: 0.36 eV/atom
**Polymorph energy (0 for the lowest one)**: 0.000 eV/atom
**Spin magnetization**: 1.58 μB per formula unit
**DFT total energy**: -20.48 eV per cell
**V**: 23.6 A^3/atom

a b c (Å): 5.7625 5.7625 3.5542
angles (deg): 90.00 90.00 90.00
Closest atoms and distances in Å follow each position.
Space group P4/mmm (No. 123)
Asymmetric unit:
Mn (0.0000, 0.0000, 0.0000) (multiplicity 1)  2 N 1.78
I (0.0000, 0.5000, 0.0000) (multiplicity 2)  2 Mn 2.88
Br (0.5000, 0.5000, 0.5000) (multiplicity 1)  8 I 3.39, 2 Br 3.55
N (0.0000, 0.0000, 0.5000) (multiplicity 1)  2 Mn 1.78

Entry 5:
Cs3K5Cd2: relaxed, PBE.

Results
**Energy of formation from the pure elements**: 0.00 eV per atom
**Spin magnetization**: 0.00 μB per formula unit
**DFT total energy**: -19.80 eV per cell
**V**: 67.8 A^3/atom

a b c (Å): 15.3937 15.3937 5.7212
angles (deg): 90.00 90.00 90.00
Closest atoms and distances in Å follow each position.
Space group P4/mbm (No. 127)
Asymmetric unit:
Cs (0.0000, 0.0000, 0.0000) (multiplicity 2)  8 K 4.68
Cs (0.1692, 0.3308, 0.0000) (multiplicity 4)  3 Cd 4.49-4.64, 10 K 4.66-4.98
K (0.0000, 0.5000, 0.5000) (multiplicity 2)  4 Cd 3.84
K (0.0751, 0.7717, 0.5000) (multiplicity 8)  2 Cd 3.77
Cd (0.1177, 0.6177, 0.0000) (multiplicity 4)  6 K 3.77-3.84

Entry 6:
VCCl3: relaxed, PBE.

Results
**Energy relative to the elements, uncorrected**: 0.69 eV/atom
**Polymorph energy (0 for the lowest one)**: 0.000 eV/atom
**Spin magnetization**: 4.00 μB per formula unit
**DFT total energy**: -20.44 eV per cell
**V**: 21.6 A^3/atom

a b c (Å): 4.7604 4.7604 4.7604
angles (deg): 90.00 90.00 90.00
Closest atoms and distances in Å follow each position.
Space group Pm-3m (No. 221)
Asymmetric unit:
V (0.0000, 0.0000, 0.0000) (multiplicity 1)  6 Cl 2.38
C (0.5000, 0.5000, 0.5000) (multiplicity 1)  12 Cl 3.37
Cl (0.0000, 0.0000, 0.5000) (multiplicity 3)  2 V 2.38

Entry 7:
ZrMn2Cr: relaxed, PBE.

Results
**Energy of formation from the pure elements**: 0.38 eV per atom
**Polymorph energy (0 for the lowest one)**: 0.330 eV/atom
**Spin magnetization**: 2.48 μB per formula unit
**DFT total energy**: -104.98 eV per cell
**V**: 15.0 A^3/atom

a b c (Å): 2.8757 2.8757 25.1529
angles (deg): 90.00 90.00 120.00
Closest atoms and distances in Å follow each position.
Space group R-3m (No. 166, hexagonal axes)
Asymmetric unit:
Zr (0.0000, 0.0000, 0.0000) (multiplicity 3)  6 Zr 2.88, 6 Mn 2.93
Mn (0.0000, 0.0000, 0.2376) (multiplicity 6)  3 Cr 2.44
Cr (0.0000, 0.0000, 0.5000) (multiplicity 3)  6 Mn 2.44

Entry 8:
HgSe2F2: relaxed, PBE.

Results
**Energy relative to the elements, uncorrected**: -0.42 eV/atom
**Polymorph energy (0 for the lowest one)**: 0.000 eV/atom
**Spin magnetization**: 0.00 μB per formula unit
**DFT total energy**: -26.22 eV per cell
**V**: 21.0 A^3/atom

a b c (Å): 3.5065 3.5065 17.0648
angles (deg): 90.00 90.00 90.00
Closest atoms and distances in Å follow each position.
Space group I4/mmm (No. 139)
Asymmetric unit:
Hg (0.0000, 0.0000, 0.0000) (multiplicity 2)  8 F 2.78
Se (0.0000, 0.5000, 0.2500) (multiplicity 4)  4 Se 2.48
F (0.0000, 0.0000, 0.4269) (multiplicity 4)  1 F 2.49, 4 Hg 2.78

DFT total energy of number 1 (NaAlInNi2)? -14.66 eV per cell

Which value of spin magnetization does entry 3 give? 0.90 μB per formula unit